# NaTcPt PBE-GGA relaxed
# Space group ... Cm
# E_form ... 0.616 eV per formula unit
# D(E_F) ... 2.1 states/eV/f.u.
# Spin magnetization ... 0.00 μB/f.u.
# Theoretical density ... 10.04 g/cm³
data_NaTcPt
_chemical_formula_sum 'Na2 Tc2 Pt2'
_space_group_name_H-M_alt 'P 1'
_space_group_IT_number 1
_cell_length_a 9.389
_cell_length_b 4.899
_cell_length_c 4.899
_cell_angle_alpha 132.04
_cell_angle_beta 135.53
_cell_angle_gamma 44.47
loop_
_space_group_symop_operation_xyz
'x,y,z'
loop_
_atom_site_label
_atom_site_type_symbol
_atom_site_fract_x
_atom_site_fract_y
_atom_site_fract_z
_atom_site_occupancy
Na1 Na 0.101 0.139 0.861 1
Na2 Na 0.977 0.927 0.073 1
Tc1 Tc 0.501 0.426 0.574 1
Tc2 Tc 0.704 0.838 0.162 1
Pt1 Pt 0.599 0.639 0.361 1
Pt2 Pt 0.298 0.292 0.708 1